(1)
A relaxed structure of TbPmPr4Er2, computed with GGA-PBE.

Output
Crystal system ... monoclinic
Calculated formation energy ... 0.015 eV per atom
E_tot ... -37.50 eV/f.u.

a b c (Å): 3.652 6.301 11.954
angles (deg): 79.79 90.00 90.00
Positions (direct):
Pr  0.000  0.250  0.250
Er  0.000  0.000  0.000
Pr  0.000  0.750  0.750
Er  0.500  0.000  0.500
Pr  0.500  0.752  0.247
Pm  0.000  0.500  0.500
Tb  0.500  0.500  0.000
Pr  0.500  0.248  0.753

---

(2)
A relaxed structure of Ca2SmNi9, computed with GGA-PBE.

Output
Crystal system ... trigonal
Calculated formation energy ... -0.242 eV per atom
E_tot ... -63.66 eV/f.u.

a b c (Å): 4.998 4.998 8.633
angles (deg): 73.17 73.17 60.00
Each line ends with the local moment (μB).
Positions (direct):
Ca  0.142  0.142  0.575  -0.02
Ni  0.500  0.500  0.500  0.16
Ni  0.420  0.420  0.242  0.26
Ni  0.333  0.333  0.002  0.29
Ni  0.083  0.580  0.758  0.26
Ni  0.667  0.667  0.998  0.29
Ni  0.580  0.580  0.758  0.26
Ni  0.917  0.420  0.242  0.26
Sm  0.000  0.000  0.000  -0.05
Ni  0.580  0.083  0.758  0.26
Ni  0.420  0.917  0.242  0.26
Ca  0.858  0.858  0.425  -0.02

---

(3)
A relaxed structure of Al2InMo, computed with GGA-PBE.

Output
Crystal system ... orthorhombic
Calculated formation energy ... 0.147 eV per atom
E_tot ... -20.47 eV/f.u.

a b c (Å): 5.043 5.043 2.901
angles (deg): 90.00 90.00 110.80
Positions (direct):
Al  0.000  0.000  0.000
Al  0.500  0.500  0.000
Mo  0.000  0.500  0.500
In  0.500  0.000  0.500

---

(4)
A relaxed structure of KWS2, computed with GGA-PBE.

Output
Crystal system ... trigonal
Excess energy over the best structure of this formula in the dataset ... 0.000 eV per atom
Formation energy (no corrections) ... -33 kJ/mol of atoms
E_tot ... -23.67 eV/f.u.

a b c (Å): 9.299 9.299 9.299
angles (deg): 21.15 21.15 21.15
Positions (direct):
K  0.000  0.000  0.000
S  0.888  0.888  0.888
W  0.500  0.500  0.500
S  0.112  0.112  0.112

---

(5)
A relaxed structure of ZnPS2O, computed with GGA-PBE.

Output
Crystal system ... tetragonal
Excess energy over the best structure of this formula in the dataset ... 0.000 eV per atom
Formation energy (no corrections) ... 71 kJ/mol of atoms
E_tot ... -16.23 eV/f.u.

a b c (Å): 4.233 4.233 4.246
angles (deg): 90.00 90.00 90.00
Positions (direct):
O  0.000  0.000  0.000
P  0.000  0.000  0.500
S  0.000  0.500  0.000
Zn  0.500  0.500  0.500
S  0.500  0.000  0.000

---

(6)
A relaxed structure of SiPbOF2, computed with GGA-PBE.

Output
Crystal system ... tetragonal
Excess energy over the best structure of this formula in the dataset ... 0.000 eV per atom
Formation energy (no corrections) ... -146 kJ/mol of atoms
E_tot ... -25.38 eV/f.u.

a b c (Å): 4.495 4.495 3.615
angles (deg): 90.00 90.00 90.00
Positions (direct):
F  0.000  0.500  0.000
Si  0.000  0.000  0.000
F  0.500  0.000  0.000
Pb  0.500  0.500  0.500
O  0.000  0.000  0.500

---

no.,magnetization (μB/cell)
1,0.00
2,1.97
3,0.00
4,0.00
5,0.00
6,0.00